(1)
This record from Alexandria via LeMat-Bulk describes an optimized crystal structure of SrHg. The functional is PBE. Values from VASP.

* spin magnetization: 0.00 μB per formula unit
* VASP energy: -5.98 eV per cell

Quantum ESPRESSO input file:
```
&SYSTEM
  ibrav = 0, nat = 4, ntyp = 2
/
ATOMIC_SPECIES
Sr 87.62 Sr.upf
Hg 200.59 Hg.upf
CELL_PARAMETERS angstrom
2.158 -6.168 0.000
2.158 6.168 0.000
0.000 0.000 5.131
ATOMIC_POSITIONS angstrom
Sr 2.158 4.447 3.848
Sr 2.158 -4.447 1.283
Hg 2.158 1.026 3.848
Hg 2.158 -1.026 1.283
```


(2)
This record from Alexandria via LeMat-Bulk describes an optimized crystal structure of Sr3Hg4. The functional is PBE. Values from VASP.

* spin magnetization: 0.00 μB per formula unit
* VASP energy: -8.87 eV per cell

Quantum ESPRESSO input file:
```
&SYSTEM
  ibrav = 0, nat = 7, ntyp = 2
/
ATOMIC_SPECIES
Sr 87.62 Sr.upf
Hg 200.59 Hg.upf
CELL_PARAMETERS angstrom
2.766 1.597 9.249
-2.766 1.597 9.249
0.000 -3.193 9.249
ATOMIC_POSITIONS angstrom
Sr 0.000 0.000 0.000
Sr 0.000 0.000 6.772
Sr 0.000 0.000 20.973
Hg 0.000 0.000 3.441
Hg 0.000 0.000 10.290
Hg 0.000 0.000 17.456
Hg 0.000 0.000 24.305
```


(3)
This record from Alexandria via LeMat-Bulk describes an optimized crystal structure of SrHg2. The functional is PBE. Values from VASP.

* spin magnetization: 0.00 μB per formula unit
* VASP energy: -3.77 eV per cell

Quantum ESPRESSO input file:
```
&SYSTEM
  ibrav = 0, nat = 3, ntyp = 2
/
ATOMIC_SPECIES
Sr 87.62 Sr.upf
Hg 200.59 Hg.upf
CELL_PARAMETERS angstrom
5.072 0.000 0.000
-2.536 4.393 0.000
0.000 0.000 4.044
ATOMIC_POSITIONS angstrom
Sr 0.000 0.000 0.000
Hg 0.000 2.928 2.022
Hg 2.536 1.464 2.022
```


(4)
This record from Alexandria via LeMat-Bulk describes an optimized crystal structure of SrHg2. The functional is PBE. Values from VASP.

* spin magnetization: 0.00 μB per formula unit
* VASP energy: -14.47 eV per cell

Quantum ESPRESSO input file:
```
&SYSTEM
  ibrav = 0, nat = 12, ntyp = 2
/
ATOMIC_SPECIES
Sr 87.62 Sr.upf
Hg 200.59 Hg.upf
CELL_PARAMETERS angstrom
6.783 0.000 0.000
0.000 5.761 0.000
0.000 0.000 9.180
ATOMIC_POSITIONS angstrom
Sr 1.337 1.440 0.845
Sr 2.055 4.321 5.435
Sr 4.728 1.440 3.745
Sr 5.447 4.321 8.335
Hg 0.169 4.321 2.352
Hg 1.307 1.440 4.099
Hg 2.085 4.321 8.688
Hg 3.223 1.440 6.941
Hg 3.561 4.321 2.238
Hg 4.698 1.440 0.491
Hg 5.477 4.321 5.081
Hg 6.615 1.440 6.828
```


(5)
This record from Alexandria via LeMat-Bulk describes an optimized crystal structure of SrHg. The functional is PBE. Values from VASP.

* spin magnetization: 0.00 μB per formula unit
* VASP energy: -3.05 eV per cell

Quantum ESPRESSO input file:
```
&SYSTEM
  ibrav = 0, nat = 2, ntyp = 2
/
ATOMIC_SPECIES
Sr 87.62 Sr.upf
Hg 200.59 Hg.upf
CELL_PARAMETERS angstrom
3.967 0.000 0.000
0.000 3.967 0.000
0.000 0.000 4.069
ATOMIC_POSITIONS angstrom
Sr 0.000 0.000 0.000
Hg 1.984 1.984 2.034
```


(6)
This record from Alexandria via LeMat-Bulk describes an optimized crystal structure of Sr8Hg. The functional is PBE. Values from VASP.

* spin magnetization: 0.00 μB per formula unit
* VASP energy: -14.32 eV per cell

Quantum ESPRESSO input file:
```
&SYSTEM
  ibrav = 0, nat = 9, ntyp = 2
/
ATOMIC_SPECIES
Sr 87.62 Sr.upf
Hg 200.59 Hg.upf
CELL_PARAMETERS angstrom
-6.952 6.952 2.257
6.952 -6.952 2.257
6.952 6.952 -2.257
ATOMIC_POSITIONS angstrom
Sr 4.663 0.000 0.000
Sr 9.241 0.000 0.000
Sr 0.000 4.663 0.000
Sr 4.906 4.906 0.000
Sr 2.046 -2.046 2.257
Sr -2.046 2.046 2.257
Sr 2.046 2.046 2.257
Sr 0.000 9.241 0.000
Hg 0.000 0.000 0.000
```


(7)
This record from Alexandria via LeMat-Bulk describes an optimized crystal structure of SrHg. The functional is PBE. Values from VASP.

* spin magnetization: 0.00 μB per formula unit
* VASP energy: -4.97 eV per cell

Quantum ESPRESSO input file:
```
&SYSTEM
  ibrav = 0, nat = 4, ntyp = 2
/
ATOMIC_SPECIES
Sr 87.62 Sr.upf
Hg 200.59 Hg.upf
CELL_PARAMETERS angstrom
4.545 0.000 0.000
-2.273 3.936 0.000
0.000 0.000 9.019
ATOMIC_POSITIONS angstrom
Sr 0.000 2.624 1.715
Sr 2.273 1.312 7.304
Hg 0.000 2.624 5.313
Hg 2.273 1.312 3.707
```


(8)
This record from Alexandria via LeMat-Bulk describes an optimized crystal structure of Sr6Hg23. The functional is PBE. Values from VASP.

* spin magnetization: 0.00 μB per formula unit
* VASP energy: -26.50 eV per cell

Quantum ESPRESSO input file:
```
&SYSTEM
  ibrav = 0, nat = 29, ntyp = 2
/
ATOMIC_SPECIES
Sr 87.62 Sr.upf
Hg 200.59 Hg.upf
CELL_PARAMETERS angstrom
0.000 7.505 7.505
7.505 0.000 7.505
7.505 7.505 0.000
ATOMIC_POSITIONS angstrom
Sr 7.505 7.505 3.704
Sr 7.505 3.704 7.505
Sr 11.306 7.505 7.505
Sr 3.704 7.505 7.505
Sr 7.505 11.306 7.505
Sr 7.505 7.505 11.306
Hg 0.000 0.000 0.000
Hg 3.752 3.752 0.000
Hg 3.752 0.000 3.752
Hg 7.505 3.752 3.752
Hg 9.575 5.435 5.435
Hg 2.073 2.073 2.073
Hg 5.432 5.432 2.073
Hg 5.432 2.073 5.432
Hg 5.435 5.435 5.435
Hg 9.575 9.575 5.435
Hg 9.575 5.435 9.575
Hg 12.937 9.578 9.578
Hg 0.000 3.752 3.752
Hg 3.752 7.505 3.752
Hg 3.752 3.752 7.505
Hg 2.073 5.432 5.432
Hg 5.435 9.575 5.435
Hg 5.435 5.435 9.575
Hg 9.575 9.575 9.575
Hg 9.578 12.937 9.578
Hg 9.578 9.578 12.937
Hg 12.937 12.937 12.937
Hg 5.435 9.575 9.575
```


(9)
This record from Alexandria via LeMat-Bulk describes an optimized crystal structure of SrHg. The functional is PBE. Values from VASP.

* spin magnetization: 0.00 μB per formula unit
* VASP energy: -11.19 eV per cell

Quantum ESPRESSO input file:
```
&SYSTEM
  ibrav = 0, nat = 8, ntyp = 2
/
ATOMIC_SPECIES
Sr 87.62 Sr.upf
Hg 200.59 Hg.upf
CELL_PARAMETERS angstrom
-4.944 4.944 2.827
4.944 -4.944 2.827
4.944 4.944 -2.827
ATOMIC_POSITIONS angstrom
Sr 2.788 0.000 0.000
Sr 7.100 0.000 0.000
Sr 0.000 2.788 0.000
Sr 0.000 7.100 0.000
Hg 3.376 3.376 0.000
Hg 1.568 -1.568 2.827
Hg -1.568 1.568 2.827
Hg 1.568 1.568 2.827
```


(10)
This record from Alexandria via LeMat-Bulk describes an optimized crystal structure of SrHg3. The functional is PBE. Values from VASP.

* spin magnetization: 0.00 μB per formula unit
* VASP energy: -8.47 eV per cell

Quantum ESPRESSO input file:
```
&SYSTEM
  ibrav = 0, nat = 8, ntyp = 2
/
ATOMIC_SPECIES
Sr 87.62 Sr.upf
Hg 200.59 Hg.upf
CELL_PARAMETERS angstrom
5.446 0.000 0.000
0.000 6.978 0.000
0.000 0.000 5.885
ATOMIC_POSITIONS angstrom
Sr 1.361 1.744 0.860
Sr 4.084 5.233 5.026
Hg 1.361 3.503 3.873
Hg 1.361 5.233 1.158
Hg 1.361 6.963 3.873
Hg 4.084 0.014 2.012
Hg 4.084 1.744 4.727
Hg 4.084 3.475 2.012
```


(11)
This record from Alexandria via LeMat-Bulk describes an optimized crystal structure of SrHg. The functional is PBE. Values from VASP.

* spin magnetization: 0.00 μB per formula unit
* VASP energy: -11.49 eV per cell

Quantum ESPRESSO input file:
```
&SYSTEM
  ibrav = 0, nat = 8, ntyp = 2
/
ATOMIC_SPECIES
Sr 87.62 Sr.upf
Hg 200.59 Hg.upf
CELL_PARAMETERS angstrom
0.000 7.836 8.570
2.070 0.000 8.570
2.070 7.836 0.000
ATOMIC_POSITIONS angstrom
Sr 1.552 0.084 6.427
Sr 2.587 4.002 10.712
Sr 1.552 11.669 6.427
Sr 2.587 15.587 10.712
Hg 1.552 5.877 4.690
Hg 1.552 5.877 8.165
Hg 2.587 9.795 8.974
Hg 2.587 9.795 12.450
```


(12)
This record from Alexandria via LeMat-Bulk describes an optimized crystal structure of SrHg. The functional is PBE. Values from VASP.

* spin magnetization: 0.00 μB per formula unit
* VASP energy: -8.07 eV per cell

Quantum ESPRESSO input file:
```
&SYSTEM
  ibrav = 0, nat = 8, ntyp = 2
/
ATOMIC_SPECIES
Sr 87.62 Sr.upf
Hg 200.59 Hg.upf
CELL_PARAMETERS angstrom
-4.866 4.866 4.866
4.866 -4.866 4.866
4.866 4.866 -4.866
ATOMIC_POSITIONS angstrom
Sr 2.929 2.929 -2.929
Sr 2.929 -2.929 2.929
Sr 1.937 1.937 1.937
Sr -2.929 2.929 2.929
Hg 1.133 1.133 -1.133
Hg 1.133 -1.133 1.133
Hg -1.133 1.133 1.133
Hg 3.734 3.734 3.734
```